LiHoScGa, optimized geometry, DFT PBE; formation energy from the elements = -321 meV per atom; Fermi-level density of states = 0.919 states/eV per atom
1.0
0.000 3.484 3.484
3.484 0.000 3.484
3.484 3.484 0.000
Li Ho Sc Ga
1 1 1 1
direct
0.000 0.000 0.000
0.250 0.250 0.250
0.750 0.750 0.750
0.500 0.500 0.500